[1]
Material: Be2ZnSeCl
Method: DFT, PBE-GGA
State: optimized geometry

As for the uncorrected formation energy: 0.889 eV/atom. Its volume is 99.5 Å³ per cell.

It has space group P4/mmm (No. 123), with a = 4.030 Å, b = 4.030 Å, c = 6.125 Å, α = 90.00°, β = 90.00° and γ = 90.00°. The asymmetric unit holds Be at (0.000, 0.500, 0.000), Zn at (0.000, 0.000, 0.500), Se at (0.500, 0.500, 0.500) and Cl at (0.000, 0.000, 0.000).


[2]
Material: Be2SiCl
Method: DFT, PBE-GGA
State: optimized geometry

As for the uncorrected formation energy: 0.113 eV/atom. Its volume is 119.2 Å³ per cell.

It has space group C2/m (No. 12), with a = 7.016 Å, b = 2.909 Å, c = 6.806 Å, α = 90.00°, β = 120.87° and γ = 90.00°. The asymmetric unit holds Be at (0.185, 0.000, 0.308), Si at (0.000, 0.000, 0.500) and Cl at (0.000, 0.500, 0.000).


[3]
Material: Be2SiCl2
Method: DFT, PBE-GGA
State: optimized geometry

As for the uncorrected formation energy: 0.447 eV/atom. Its volume is 222.2 Å³ per cell.

It has space group P4/mbm (No. 127), with a = 8.773 Å, b = 8.773 Å, c = 2.887 Å, α = 90.00°, β = 90.00° and γ = 90.00°. The asymmetric unit holds Be at (0.228, 0.272, 0.000), Si at (0.000, 0.000, 0.500) and Cl at (0.122, 0.378, 0.500).